## K2Tl5Pd (GGA-PBE)

Data for K2Tl5Pd after structural relaxation.

Energy of formation (meV per atom): -33
Crystal system: tetragonal

Cell and atoms, written as POSCAR:
```
K2Tl5Pd
1.0
-1.497 2.498 4.616
-2.092 -6.270 2.715
6.545 -1.024 2.678
Tl K Pd
5 2 1
direct
0.000 0.721 0.279
0.000 0.721 0.721
0.000 0.279 0.721
0.500 0.000 0.000
0.000 0.279 0.279
0.500 0.500 0.000
0.500 0.000 0.500
0.000 0.000 0.000
```

## K3Tl2Pd (GGA-PBE)

Data for K3Tl2Pd after structural relaxation.

Energy of formation (meV per atom): -80
Crystal system: monoclinic

Cell and atoms, written as POSCAR:
```
K3Tl2Pd
1.0
4.838 0.000 1.168
2.150 10.372 1.700
0.195 0.365 9.798
K Tl Pd
6 4 2
direct
0.773 0.825 0.630
0.045 0.109 0.802
0.955 0.891 0.198
0.227 0.175 0.370
0.325 0.355 0.994
0.675 0.645 0.006
0.450 0.682 0.418
0.550 0.318 0.582
0.081 0.523 0.314
0.919 0.477 0.686
0.350 0.589 0.710
0.650 0.411 0.290
```

## K5Tl4Pd (GGA-PBE)

Data for K5Tl4Pd after structural relaxation.

Energy of formation (meV per atom): -80
Crystal system: monoclinic

Cell and atoms, written as POSCAR:
```
K5Tl4Pd
1.0
-4.007 2.059 1.141
-2.147 0.766 -8.921
-1.565 -10.348 3.715
Tl Pd K
4 1 5
direct
0.374 0.735 0.748
0.626 0.265 0.252
0.020 0.200 0.040
0.980 0.800 0.960
0.500 0.000 0.000
0.190 0.586 0.380
0.151 0.996 0.302
0.500 0.500 0.000
0.849 0.004 0.698
0.810 0.414 0.620
```